one:
# Lu2Hf2O5 PBE optimized geometry
data_Lu2Hf2O5
_cell_length_a 3.578
_cell_length_b 3.578
_cell_length_c 9.505
_cell_angle_alpha 90.00
_cell_angle_beta 90.00
_cell_angle_gamma 90.00
_symmetry_space_group_name_H-M 'P 4/m m m'
_symmetry_Int_Tables_number 123
_symmetry_space_group_name_Hall '-P 4 2'
loop_
_atom_site_label
_atom_site_type_symbol
_atom_site_fract_x
_atom_site_fract_y
_atom_site_fract_z
Lu1 Lu 0.000 0.000 0.250
Hf1 Hf 0.500 0.500 0.000
Hf2 Hf 0.500 0.500 0.500
O1 O 0.000 0.000 0.000
O2 O 0.000 0.500 0.369
# - Magnetic moment: 0.01 μB per formula unit
# - Crystal system: tetragonal



two:
# Lu2Hf2O5 PBE optimized geometry
data_Lu2Hf2O5
_cell_length_a 4.038
_cell_length_b 4.038
_cell_length_c 7.370
_cell_angle_alpha 90.00
_cell_angle_beta 90.00
_cell_angle_gamma 90.00
_symmetry_space_group_name_H-M 'P 4/m m m'
_symmetry_Int_Tables_number 123
_symmetry_space_group_name_Hall '-P 4 2'
loop_
_atom_site_label
_atom_site_type_symbol
_atom_site_fract_x
_atom_site_fract_y
_atom_site_fract_z
Lu1 Lu 0.000 0.000 0.000
Lu2 Lu 0.000 0.000 0.500
Hf1 Hf 0.500 0.500 0.220
O1 O 0.000 0.500 0.269
O2 O 0.500 0.500 0.500
# - Magnetic moment: 0.00 μB per formula unit
# - Crystal system: tetragonal



Referenced to the most stable arrangement, the calculated values in eV/atom are one 0.000; two 0.140.



one:
# HfMgTeMo PBE optimized geometry
data_HfMgTeMo
_cell_length_a 6.759
_cell_length_b 6.759
_cell_length_c 6.759
_cell_angle_alpha 90.00
_cell_angle_beta 90.00
_cell_angle_gamma 90.00
_symmetry_space_group_name_H-M 'F -4 3 m'
_symmetry_Int_Tables_number 216
_symmetry_space_group_name_Hall 'F -4 2 3'
loop_
_atom_site_label
_atom_site_type_symbol
_atom_site_fract_x
_atom_site_fract_y
_atom_site_fract_z
Hf1 Hf 0.000 0.000 0.000
Mg1 Mg 0.250 0.250 0.750
Te1 Te 0.250 0.250 0.250
Mo1 Mo 0.000 0.000 0.500
# - Magnetic moment: 0.01 μB per formula unit
# - Crystal system: cubic



two:
# HfMgTeMo PBE optimized geometry
data_HfMgTeMo
_cell_length_a 6.718
_cell_length_b 6.718
_cell_length_c 6.718
_cell_angle_alpha 90.00
_cell_angle_beta 90.00
_cell_angle_gamma 90.00
_symmetry_space_group_name_H-M 'F -4 3 m'
_symmetry_Int_Tables_number 216
_symmetry_space_group_name_Hall 'F -4 2 3'
loop_
_atom_site_label
_atom_site_type_symbol
_atom_site_fract_x
_atom_site_fract_y
_atom_site_fract_z
Hf1 Hf 0.000 0.000 0.000
Mg1 Mg 0.250 0.250 0.250
Te1 Te 0.000 0.000 0.500
Mo1 Mo 0.250 0.250 0.750
# - Magnetic moment: 0.00 μB per formula unit
# - Crystal system: cubic



Referenced to the most stable arrangement, the calculated values in eV/atom are one 0.111; two 0.000.



one:
# HfMgMoW PBE optimized geometry
data_HfMgMoW
_cell_length_a 6.556
_cell_length_b 6.556
_cell_length_c 6.556
_cell_angle_alpha 90.00
_cell_angle_beta 90.00
_cell_angle_gamma 90.00
_symmetry_space_group_name_H-M 'F -4 3 m'
_symmetry_Int_Tables_number 216
_symmetry_space_group_name_Hall 'F -4 2 3'
loop_
_atom_site_label
_atom_site_type_symbol
_atom_site_fract_x
_atom_site_fract_y
_atom_site_fract_z
Hf1 Hf 0.000 0.000 0.000
Mg1 Mg 0.250 0.250 0.250
Mo1 Mo 0.250 0.250 0.750
W1 W 0.000 0.000 0.500
# - Magnetic moment: 0.00 μB per formula unit
# - Crystal system: cubic



two:
# HfMgMoW PBE optimized geometry
data_HfMgMoW
_cell_length_a 6.564
_cell_length_b 6.564
_cell_length_c 6.564
_cell_angle_alpha 90.00
_cell_angle_beta 90.00
_cell_angle_gamma 90.00
_symmetry_space_group_name_H-M 'F -4 3 m'
_symmetry_Int_Tables_number 216
_symmetry_space_group_name_Hall 'F -4 2 3'
loop_
_atom_site_label
_atom_site_type_symbol
_atom_site_fract_x
_atom_site_fract_y
_atom_site_fract_z
Hf1 Hf 0.000 0.000 0.000
Mg1 Mg 0.250 0.250 0.750
Mo1 Mo 0.000 0.000 0.500
W1 W 0.250 0.250 0.250
# - Magnetic moment: 0.00 μB per formula unit
# - Crystal system: cubic



Referenced to the most stable arrangement, the calculated values in eV/atom are one 0.012; two 0.000.



one:
# HfMgNO PBE optimized geometry
data_HfMgNO
_cell_length_a 3.505
_cell_length_b 3.505
_cell_length_c 7.502
_cell_angle_alpha 90.00
_cell_angle_beta 90.00
_cell_angle_gamma 90.00
_symmetry_space_group_name_H-M 'P 4/n m m'
_symmetry_Int_Tables_number 129
loop_
_symmetry_equiv_pos_as_xyz
'x,y,z'
'-x,-y,-z'
'-y+1/2,x,z'
'y+1/2,-x,-z'
'-x+1/2,-y+1/2,z'
'x+1/2,y+1/2,-z'
'y,-x+1/2,z'
'-y,x+1/2,-z'
'x+1/2,-y,-z'
'-x+1/2,y,z'
'-y,-x,-z'
'y,x,z'
'-x,y+1/2,-z'
'x,-y+1/2,z'
'y+1/2,x+1/2,-z'
'-y+1/2,-x+1/2,z'
loop_
_atom_site_label
_atom_site_type_symbol
_atom_site_fract_x
_atom_site_fract_y
_atom_site_fract_z
Hf1 Hf 0.250 0.250 0.157
Mg1 Mg 0.250 0.750 0.500
N1 N 0.250 0.250 0.677
O1 O 0.250 0.750 0.000
# - Magnetic moment: 0.00 μB per formula unit
# - Crystal system: tetragonal



two:
# HfMgNO PBE optimized geometry
data_HfMgNO
_cell_length_a 4.390
_cell_length_b 3.517
_cell_length_c 6.516
_cell_angle_alpha 90.00
_cell_angle_beta 90.00
_cell_angle_gamma 90.00
_symmetry_space_group_name_H-M 'P m m a'
_symmetry_Int_Tables_number 51
loop_
_symmetry_equiv_pos_as_xyz
'x,y,z'
'-x,-y,-z'
'-x+1/2,-y,z'
'x+1/2,y,-z'
'x+1/2,-y,-z'
'-x+1/2,y,z'
'-x,y,-z'
'x,-y,z'
loop_
_atom_site_label
_atom_site_type_symbol
_atom_site_fract_x
_atom_site_fract_y
_atom_site_fract_z
Hf1 Hf 0.250 0.000 0.159
Mg1 Mg 0.250 0.500 0.649
N1 N 0.250 0.500 0.330
O1 O 0.250 0.000 0.813
# - Magnetic moment: 0.01 μB per formula unit
# - Crystal system: orthorhombic



Referenced to the most stable arrangement, the calculated values in eV/atom are one 0.542; two 0.000.



one:
# HfMgNO PBE optimized geometry
data_HfMgNO
_cell_length_a 3.128
_cell_length_b 3.128
_cell_length_c 4.418
_cell_angle_alpha 90.00
_cell_angle_beta 90.00
_cell_angle_gamma 90.00
_symmetry_space_group_name_H-M 'P 4/m m m'
_symmetry_Int_Tables_number 123
_symmetry_space_group_name_Hall '-P 4 2'
loop_
_atom_site_label
_atom_site_type_symbol
_atom_site_fract_x
_atom_site_fract_y
_atom_site_fract_z
Hf1 Hf 0.000 0.000 0.000
Mg1 Mg 0.500 0.500 0.500
N1 N 0.500 0.500 0.000
O1 O 0.000 0.000 0.500
# - Magnetic moment: 0.00 μB per formula unit
# - Crystal system: tetragonal



two:
# HfMgNO PBE optimized geometry
data_HfMgNO
_cell_length_a 5.921
_cell_length_b 6.771
_cell_length_c 5.498
_cell_angle_alpha 90.00
_cell_angle_beta 90.00
_cell_angle_gamma 90.00
_symmetry_space_group_name_H-M 'P c a 21'
_symmetry_Int_Tables_number 29
loop_
_symmetry_equiv_pos_as_xyz
'x,y,z'
'-x,-y,z+1/2'
'-x+1/2,y,z+1/2'
'x+1/2,-y,z'
loop_
_atom_site_label
_atom_site_type_symbol
_atom_site_fract_x
_atom_site_fract_y
_atom_site_fract_z
Hf1 Hf 0.074 0.115 0.000
Mg1 Mg 0.098 0.609 0.986
N1 N 0.072 0.641 0.609
O1 O 0.090 0.156 0.626
# - Magnetic moment: 0.13 μB per formula unit
# - Crystal system: orthorhombic



three:
# HfMgNO PBE optimized geometry
data_HfMgNO
_cell_length_a 4.392
_cell_length_b 3.527
_cell_length_c 6.495
_cell_angle_alpha 90.00
_cell_angle_beta 90.00
_cell_angle_gamma 90.00
_symmetry_space_group_name_H-M 'P m m a'
_symmetry_Int_Tables_number 51
loop_
_symmetry_equiv_pos_as_xyz
'x,y,z'
'-x,-y,-z'
'-x+1/2,-y,z'
'x+1/2,y,-z'
'x+1/2,-y,-z'
'-x+1/2,y,z'
'-x,y,-z'
'x,-y,z'
loop_
_atom_site_label
_atom_site_type_symbol
_atom_site_fract_x
_atom_site_fract_y
_atom_site_fract_z
Hf1 Hf 0.250 0.000 0.149
Mg1 Mg 0.250 0.500 0.661
N1 N 0.250 0.000 0.825
O1 O 0.250 0.500 0.352
# - Magnetic moment: 0.01 μB per formula unit
# - Crystal system: orthorhombic



Referenced to the most stable arrangement, the calculated values in eV/atom are one 0.000; two 0.341; three 0.104.



one:
# HfMgNiPb PBE optimized geometry
data_HfMgNiPb
_cell_length_a 6.781
_cell_length_b 6.781
_cell_length_c 6.781
_cell_angle_alpha 90.00
_cell_angle_beta 90.00
_cell_angle_gamma 90.00
_symmetry_space_group_name_H-M 'F -4 3 m'
_symmetry_Int_Tables_number 216
_symmetry_space_group_name_Hall 'F -4 2 3'
loop_
_atom_site_label
_atom_site_type_symbol
_atom_site_fract_x
_atom_site_fract_y
_atom_site_fract_z
Hf1 Hf 0.000 0.000 0.000
Mg1 Mg 0.250 0.250 0.750
Ni1 Ni 0.000 0.000 0.500
Pb1 Pb 0.250 0.250 0.250
# - Magnetic moment: 0.00 μB per formula unit
# - Crystal system: cubic



two:
# HfMgNiPb PBE optimized geometry
data_HfMgNiPb
_cell_length_a 6.731
_cell_length_b 6.731
_cell_length_c 6.731
_cell_angle_alpha 90.00
_cell_angle_beta 90.00
_cell_angle_gamma 90.00
_symmetry_space_group_name_H-M 'F -4 3 m'
_symmetry_Int_Tables_number 216
_symmetry_space_group_name_Hall 'F -4 2 3'
loop_
_atom_site_label
_atom_site_type_symbol
_atom_site_fract_x
_atom_site_fract_y
_atom_site_fract_z
Hf1 Hf 0.000 0.000 0.000
Mg1 Mg 0.250 0.250 0.250
Ni1 Ni 0.250 0.250 0.750
Pb1 Pb 0.000 0.000 0.500
# - Magnetic moment: 0.01 μB per formula unit
# - Crystal system: cubic



Referenced to the most stable arrangement, the calculated values in eV/atom are one 0.090; two 0.000.